No. 1
! Tm4ScNi2 | Alexandria | GGA-PBE | relaxed; values from VASP
! Energy relative to the elements = -0.12 eV per atom
! Space-group type = R-3m, No. 166
! Crystal system = trigonal
&SYSTEM
  ibrav = 0, nat = 7, ntyp = 3
/
ATOMIC_SPECIES
Tm 168.93 Tm.upf
Ni 58.69 Ni.upf
Sc 44.96 Sc.upf
CELL_PARAMETERS angstrom
3.771 0.000 0.000
1.885 3.266 0.000
1.885 1.089 14.319
ATOMIC_POSITIONS crystal
Tm 0.894 0.894 0.317
Tm 0.299 0.299 0.103
Tm 0.106 0.106 0.683
Ni 0.403 0.403 0.790
Ni 0.597 0.597 0.210
Sc 0.500 0.500 0.500
Tm 0.701 0.701 0.897


No. 2
! Pu3H2Pt | Alexandria | GGA-PBE | relaxed; values from VASP
! Space-group type = Cmcm, No. 63
! Crystal system = orthorhombic
! VASP energy = -9.615 eV/atom
&SYSTEM
  ibrav = 0, nat = 12, ntyp = 3
/
ATOMIC_SPECIES
Pu 244.00 Pu.upf
H 1.01 H.upf
Pt 195.08 Pt.upf
CELL_PARAMETERS angstrom
4.424 0.000 0.000
0.000 6.918 -2.869
0.000 -0.127 7.489
ATOMIC_POSITIONS crystal
Pu 0.750 0.564 0.832
Pu 0.250 0.899 0.101
H 0.000 0.181 0.181
H 0.000 0.819 0.819
Pu 0.750 0.101 0.899
Pu 0.250 0.832 0.564
H 0.500 0.181 0.181
Pt 0.250 0.269 0.731
Pu 0.250 0.436 0.168
Pt 0.750 0.731 0.269
H 0.500 0.819 0.819
Pu 0.750 0.168 0.436


No. 3
! NdEr4Tc | Alexandria | GGA-PBE | relaxed; values from VASP
! Energy relative to the elements = -0.03 eV per atom
! Space-group type = Pnma, No. 62
! Crystal system = orthorhombic
&SYSTEM
  ibrav = 0, nat = 24, ntyp = 3
/
ATOMIC_SPECIES
Er 167.26 Er.upf
Nd 144.24 Nd.upf
Tc 98.00 Tc.upf
CELL_PARAMETERS angstrom
3.734 0.000 0.000
0.000 8.765 0.000
0.000 0.000 20.435
ATOMIC_POSITIONS crystal
Er 0.750 0.851 0.641
Nd 0.250 0.773 0.312
Er 0.750 0.351 0.859
Er 0.250 0.509 0.434
Nd 0.750 0.227 0.688
Tc 0.250 0.739 0.546
Nd 0.750 0.727 0.812
Er 0.750 0.491 0.566
Er 0.250 0.041 0.795
Nd 0.250 0.273 0.188
Tc 0.750 0.261 0.454
Er 0.250 0.632 0.957
Tc 0.750 0.761 0.046
Er 0.750 0.459 0.295
Tc 0.250 0.239 0.954
Er 0.250 0.149 0.359
Er 0.250 0.541 0.705
Er 0.250 0.009 0.066
Er 0.750 0.868 0.457
Er 0.250 0.649 0.141
Er 0.250 0.132 0.543
Er 0.750 0.368 0.043
Er 0.750 0.959 0.205
Er 0.750 0.991 0.934


No. 4
! MnCuI2 | Alexandria | GGA-PBE | relaxed; values from VASP
! Formation energy from raw total energies = 47.8 kJ per mole of atoms
! Space-group type = Fm-3m, No. 225
! ΔE to the lowest computed polymorph = 1.35 eV/f.u.
! Crystal system = cubic
&SYSTEM
  ibrav = 0, nat = 4, ntyp = 3
/
ATOMIC_SPECIES
I 126.90 I.upf
Mn 54.94 Mn.upf
Cu 63.55 Cu.upf
CELL_PARAMETERS angstrom
-3.959 -2.570 2.111
-3.923 -1.596 -2.967
-0.623 -5.040 -0.972
ATOMIC_POSITIONS crystal
I 0.250 0.250 0.250
I 0.750 0.750 0.750
Mn 0.000 0.000 0.000
Cu 0.500 0.500 0.500


No. 5
! K2RbSn | Alexandria | GGA-PBE | relaxed; values from VASP
! Energy relative to the elements = -0.02 eV per atom
! Space-group type = R3m, No. 160
! Crystal system = trigonal
&SYSTEM
  ibrav = 0, nat = 4, ntyp = 3
/
ATOMIC_SPECIES
K 39.10 K.upf
Rb 85.47 Rb.upf
Sn 118.71 Sn.upf
CELL_PARAMETERS angstrom
-1.260 4.251 -4.592
-5.673 -0.049 -2.925
-4.182 4.707 1.069
ATOMIC_POSITIONS crystal
K 0.000 0.000 0.999
Rb 0.500 0.500 0.501
Sn 0.750 0.750 0.751
K 0.250 0.250 0.249


No. 6
! ScCr2Br | Alexandria | GGA-PBE | relaxed; values from VASP
! Formation energy from raw total energies = 49.9 kJ per mole of atoms
! Space-group type = F-43m, No. 216
! ΔE to the lowest computed polymorph = 2.11 eV/f.u.
! Crystal system = cubic
&SYSTEM
  ibrav = 0, nat = 4, ntyp = 3
/
ATOMIC_SPECIES
Cr 52.00 Cr.upf
Sc 44.96 Sc.upf
Br 79.90 Br.upf
CELL_PARAMETERS angstrom
4.783 0.000 0.000
2.392 4.142 0.000
2.392 1.381 3.906
ATOMIC_POSITIONS crystal
Cr 0.000 0.000 0.000
Sc 0.750 0.750 0.750
Br 0.500 0.500 0.500
Cr 0.250 0.250 0.250


No. 7
! Tm5Sn2Bi2 | Alexandria | GGA-PBE | relaxed; values from VASP
! Energy relative to the elements = -0.73 eV per atom
! Space-group type = Cmce, No. 64
! ΔE to the lowest computed polymorph = 0.00 eV/f.u.
! Crystal system = orthorhombic
&SYSTEM
  ibrav = 0, nat = 18, ntyp = 3
/
ATOMIC_SPECIES
Tm 168.93 Tm.upf
Bi 208.98 Bi.upf
Sn 118.71 Sn.upf
CELL_PARAMETERS angstrom
-5.295 -2.553 5.643
3.712 -7.224 0.215
2.827 6.183 5.449
ATOMIC_POSITIONS crystal
Tm 0.162 0.207 0.739
Tm 0.338 0.968 0.261
Bi 0.000 0.796 0.591
Tm 0.662 0.293 0.261
Tm 0.338 0.707 0.739
Sn 0.861 0.360 0.000
Bi 0.500 0.296 0.591
Tm 0.838 0.532 0.739
Tm 0.000 0.000 0.000
Bi 0.000 0.204 0.409
Sn 0.139 0.640 0.000
Sn 0.639 0.860 0.000
Bi 0.500 0.704 0.409
Tm 0.838 0.793 0.261
Tm 0.662 0.032 0.739
Tm 0.162 0.468 0.261
Tm 0.500 0.500 0.000
Sn 0.361 0.140 0.000


No. 8
! AsOs2Cl | Alexandria | GGA-PBE | relaxed; values from VASP
! Formation energy from raw total energies = 77.8 kJ per mole of atoms
! Space-group type = C2/m, No. 12
! ΔE to the lowest computed polymorph = 2.11 eV/f.u.
! Crystal system = monoclinic
&SYSTEM
  ibrav = 0, nat = 4, ntyp = 3
/
ATOMIC_SPECIES
Cl 35.45 Cl.upf
As 74.92 As.upf
Os 190.23 Os.upf
CELL_PARAMETERS angstrom
-3.771 -1.471 -1.406
-3.317 -2.328 1.394
-3.291 3.797 1.696
ATOMIC_POSITIONS crystal
Cl 0.250 0.250 0.250
As 0.750 0.750 0.750
Os 0.007 0.007 0.971
Os 0.493 0.493 0.529


No. 9
! CaFe2Ir | Alexandria | GGA-PBE | relaxed; values from VASP
! Energy relative to the elements = 0.47 eV per atom
! Space-group type = I-42d, No. 122
! Crystal system = tetragonal
&SYSTEM
  ibrav = 0, nat = 8, ntyp = 3
/
ATOMIC_SPECIES
Fe 55.84 Fe.upf
Ir 192.22 Ir.upf
Ca 40.08 Ca.upf
CELL_PARAMETERS angstrom
-1.468 4.346 -5.767
-3.529 -5.566 -3.296
-4.860 0.179 -3.336
ATOMIC_POSITIONS crystal
Fe 0.683 0.125 0.250
Fe 0.875 0.933 0.750
Ir 0.750 0.250 0.500
Ca 0.500 0.500 0.000
Fe 0.067 0.625 0.250
Fe 0.375 0.317 0.750
Ir 0.000 0.000 0.000
Ca 0.250 0.750 0.500


No. 10
! VSnHg2 | Alexandria | GGA-PBE | relaxed; values from VASP
! Energy relative to the elements = 0.43 eV per atom
! Space-group type = I-42d, No. 122
! Crystal system = tetragonal
&SYSTEM
  ibrav = 0, nat = 8, ntyp = 3
/
ATOMIC_SPECIES
Hg 200.59 Hg.upf
Sn 118.71 Sn.upf
V 50.94 V.upf
CELL_PARAMETERS angstrom
8.096 0.000 0.000
0.000 8.096 0.000
4.048 4.048 2.874
ATOMIC_POSITIONS crystal
Hg 0.151 0.625 0.250
Hg 0.875 0.849 0.750
Sn 0.000 0.000 0.000
V 0.250 0.750 0.500
Sn 0.750 0.250 0.500
Hg 0.375 0.401 0.750
V 0.500 0.500 0.000
Hg 0.599 0.125 0.250


No. 11
! LiMg12Tl6 | Alexandria | GGA-PBE | relaxed; values from VASP
! Energy relative to the elements = 0.01 eV per atom
! Space-group type = R-3, No. 148
! Crystal system = trigonal
&SYSTEM
  ibrav = 0, nat = 19, ntyp = 3
/
ATOMIC_SPECIES
Mg 24.30 Mg.upf
Tl 204.38 Tl.upf
Li 6.94 Li.upf
CELL_PARAMETERS angstrom
-2.734 -7.249 -0.342
3.870 -1.588 -6.530
6.083 -2.911 3.829
ATOMIC_POSITIONS crystal
Mg 0.450 0.519 0.802
Mg 0.596 0.859 0.899
Tl 0.720 0.228 0.855
Mg 0.859 0.899 0.596
Tl 0.280 0.772 0.145
Mg 0.404 0.141 0.101
Mg 0.141 0.101 0.404
Tl 0.855 0.720 0.228
Mg 0.198 0.550 0.481
Mg 0.481 0.198 0.550
Mg 0.550 0.481 0.198
Tl 0.145 0.280 0.772
Mg 0.101 0.404 0.141
Mg 0.519 0.802 0.450
Tl 0.228 0.855 0.720
Mg 0.899 0.596 0.859
Tl 0.772 0.145 0.280
Mg 0.802 0.450 0.519
Li 0.000 0.000 0.000


No. 12
! Sr2LaSc | Alexandria | GGA-PBE | relaxed; values from VASP
! Energy relative to the elements = 0.55 eV per atom
! Space-group type = I-42d, No. 122
! ΔE to the lowest computed polymorph = 1.67 eV/f.u.
! Crystal system = tetragonal
&SYSTEM
  ibrav = 0, nat = 8, ntyp = 3
/
ATOMIC_SPECIES
La 138.91 La.upf
Sr 87.62 Sr.upf
Sc 44.96 Sc.upf
CELL_PARAMETERS angstrom
-7.135 -4.156 -4.702
2.378 -8.379 3.798
-4.526 -5.648 2.260
ATOMIC_POSITIONS crystal
La 0.000 0.000 0.000
La 0.750 0.250 0.500
Sr 0.138 0.625 0.250
Sr 0.375 0.388 0.750
Sr 0.612 0.125 0.250
Sr 0.875 0.862 0.750
Sc 0.250 0.750 0.500
Sc 0.500 0.500 0.000


No. 13
! LiNb3Tl | Alexandria | GGA-PBE | relaxed; values from VASP
! Energy relative to the elements = 2.04 eV per atom
! Space-group type = Pm-3m, No. 221
! ΔE to the lowest computed polymorph = 5.58 eV/f.u.
! Crystal system = cubic
&SYSTEM
  ibrav = 0, nat = 5, ntyp = 3
/
ATOMIC_SPECIES
Nb 92.91 Nb.upf
Tl 204.38 Tl.upf
Li 6.94 Li.upf
CELL_PARAMETERS angstrom
5.187 0.000 0.000
0.000 5.187 0.000
0.000 0.000 5.187
ATOMIC_POSITIONS crystal
Nb 0.000 0.000 0.500
Tl 0.000 0.000 0.000
Nb 0.000 0.500 0.000
Li 0.500 0.500 0.500
Nb 0.500 0.000 0.000


No. 14
! LiBiPd | Alexandria | GGA-PBE | relaxed; values from VASP
! Energy relative to the elements = -0.40 eV per atom
! Space-group type = F-43m, No. 216
! ΔE to the lowest computed polymorph = 0.05 eV/f.u.
! Crystal system = cubic
&SYSTEM
  ibrav = 0, nat = 3, ntyp = 3
/
ATOMIC_SPECIES
Pd 106.42 Pd.upf
Bi 208.98 Bi.upf
Li 6.94 Li.upf
CELL_PARAMETERS angstrom
-4.188 1.117 -1.257
-2.110 -2.389 -3.195
-3.472 -2.665 1.099
ATOMIC_POSITIONS crystal
Pd 0.250 0.250 0.250
Bi 0.000 0.000 0.000
Li 0.500 0.500 0.500


No. 15
! ZrAsRh2 | Alexandria | GGA-PBE | relaxed; values from VASP
! Energy relative to the elements = -0.63 eV per atom
! Space-group type = I-4m2, No. 119
! Crystal system = tetragonal
&SYSTEM
  ibrav = 0, nat = 4, ntyp = 3
/
ATOMIC_SPECIES
Rh 102.91 Rh.upf
As 74.92 As.upf
Zr 91.22 Zr.upf
CELL_PARAMETERS angstrom
-0.988 -1.507 -4.748
3.354 -3.327 -1.863
-2.707 0.333 4.284
ATOMIC_POSITIONS crystal
Rh 0.000 0.000 0.000
As 0.750 0.250 0.500
Zr 0.500 0.500 0.000
Rh 0.250 0.750 0.500


No. 16
! MgBiTe3 | Alexandria | GGA-PBE | relaxed; values from VASP
! Formation energy from raw total energies = 15.5 kJ per mole of atoms
! Space-group type = Pm-3m, No. 221
! ΔE to the lowest computed polymorph = 2.60 eV/f.u.
! Crystal system = cubic
&SYSTEM
  ibrav = 0, nat = 5, ntyp = 3
/
ATOMIC_SPECIES
Bi 208.98 Bi.upf
Te 127.60 Te.upf
Mg 24.30 Mg.upf
CELL_PARAMETERS angstrom
5.426 0.000 0.000
0.000 5.426 0.000
0.000 0.000 5.426
ATOMIC_POSITIONS crystal
Bi 0.500 0.500 0.500
Te 0.000 0.500 0.000
Te 0.000 0.000 0.500
Te 0.500 0.000 0.000
Mg 0.000 0.000 0.000


One value per record, in order, for total magnetization: 0.000 2.885 0.000 1.136 0.260 0.211 0.000 0.000 1.481 0.624 0.000 0.266 0.197 0.000 0.000 0.000 μB per atom.